Here is crystalline YEr2CdO at its relaxed geometry from the Alexandria database. Energies are from PBE.

Total moment = 0.000 μB per cell
Formation energy from raw total energies = -1.324 eV/atom

a b c (Å): 4.739 4.739 4.802
angles (deg): 90.00 90.00 90.00
Space group P4/mmm (No. 123)
Inequivalent atoms, fractional coordinates:
Y 0.000 0.000 0.000 [1 per cell]
Er 0.000 0.500 0.500 [2 per cell]
Cd 0.500 0.500 0.000 [1 per cell]
O 0.000 0.000 0.500 [1 per cell]